Computed, not measured: Tb2NiGe3 after structural relaxation at the PBE-GGA level of DFT.

Properties
Distance to the lowest polymorph of the same formula: 0.22 eV/f.u.
Space-group type: No. 8

```
6
Lattice="5.2833 -2.1064 0.0000 5.2833 2.1064 0.0000 -4.5723 0.0000 5.2433" Properties=species:S:1:pos:R:3 pbc="T T T"
Tb 0.0000 0.0000 0.0000
Tb -1.6874 0.0000 3.3237
Ni 5.8307 0.0000 2.1861
Ge 1.2988 0.0000 2.9641
Ge 3.6375 0.0000 1.1783
Ge 7.4751 0.0000 0.3149
```


Computed, not measured: Ho7Er4In after structural relaxation at the PBE-GGA level of DFT.

Properties
Distance to the lowest polymorph of the same formula: 0.00 eV/f.u.
Space-group type: No. 12

```
12
Lattice="5.9583 -2.8229 0.0000 5.9583 2.8229 0.0000 -2.1354 0.0000 11.4528" Properties=species:S:1:pos:R:3 pbc="T T T"
Ho 0.0000 0.0000 0.0000
Ho -0.0028 0.0000 6.9468
Ho 1.0795 0.0000 10.1803
Ho 3.1764 0.0000 6.0548
Ho 6.6048 0.0000 5.3980
Ho 8.7017 0.0000 1.2725
Ho 9.7840 0.0000 4.5060
Er 1.0516 0.0000 3.2355
Er 4.5192 0.0000 2.6477
Er 5.2620 0.0000 8.8051
Er 8.7295 0.0000 8.2173
In 5.9583 0.0000 0.0000
```


Computed, not measured: Pm3GePb2 after structural relaxation at the PBE-GGA level of DFT.

Properties
Distance to the lowest polymorph of the same formula: 0.21 eV/f.u.
Space-group type: No. 15

```
12
Lattice="7.9494 -3.1555 0.0000 7.9494 3.1555 0.0000 -1.7825 0.0000 7.3356" Properties=species:S:1:pos:R:3 pbc="T T T"
Pm 6.6125 3.1497 5.5017
Pm 4.8118 0.0063 3.1212
Pm 3.9205 -0.0063 6.7889
Pm 10.1958 0.0063 0.5466
Pm 9.3046 -0.0063 4.2144
Pm 7.5038 -3.1497 1.8339
Ge 7.5038 0.0081 1.8339
Ge 6.6125 -0.0081 5.5017
Pb 2.6072 0.0071 0.6398
Pb 1.7160 -0.0071 4.3076
Pb 12.4004 0.0071 3.0280
Pb 11.5091 -0.0071 6.6958
```


no.,density (Mg/m³),calculated formation energy (eV/atom)
1,8.46,-0.687
2,8.35,0.171
3,8.32,-0.515